Record 1
The following is a GGA-PBE calculation of a relaxed structure of BiSb2TeW, from the Alexandria database.

total DFT energy (no corrections) = -5.003 eV per atom
E_form (uncorrected) = 0.6409 eV/atom
E above lowest polymorph = 0.00 kJ/mol of atoms

Cell lengths 5.350, 5.350, 5.187 Å; angles 90.00, 90.00, 90.00 degrees
Space group P4/mmm (No. 123)
Symmetry-distinct sites (fractional):
Bi: 0.000 0.000 0.000
Sb: 0.000 0.500 0.500
Te: 0.500 0.500 0.000
W: 0.500 0.500 0.500

---

Record 2
The following is a GGA-PBE calculation of a relaxed structure of Cs3Na3Hg2, from the Alexandria database.

total DFT energy (no corrections) = -1.023 eV per atom
energy of formation = -0.133 eV/atom

Cell lengths 5.466, 14.366, 20.853 Å; angles 90.00, 90.00, 90.00 degrees
Space group Cmcm (No. 63)
Symmetry-distinct sites (fractional):
Cs: 0.000 0.052 0.107
Cs: 0.000 0.349 0.250
Na: 0.000 0.321 0.034
Na: 0.000 0.348 0.750
Hg: 0.000 0.230 0.614

---

Record 3
The following is a GGA-PBE calculation of a relaxed structure of Pr2Be3GePt4, from the Alexandria database.

total DFT energy (no corrections) = -5.812 eV per atom
energy of formation = -0.860 eV/atom

Cell lengths 4.182, 4.182, 9.742 Å; angles 90.00, 90.00, 90.00 degrees
Space group P-4m2 (No. 115)
Symmetry-distinct sites (fractional):
Pr: 0.000 0.500 0.248
Be: 0.000 0.500 0.882
Be: 0.500 0.500 0.500
Ge: 0.000 0.000 0.500
Pt: 0.000 0.000 0.000
Pt: 0.000 0.500 0.638
Pt: 0.500 0.500 0.000

---

Record 4
The following is a GGA-PBE calculation of a relaxed structure of SbAsC, from the Alexandria database.

total DFT energy (no corrections) = -5.387 eV per atom
E_form (uncorrected) = 0.6118 eV/atom
E above lowest polymorph = 8.68 kJ/mol of atoms

Cell lengths 4.117, 6.209, 6.410 Å; angles 87.69, 79.57, 85.24 degrees
Space group P1 (No. 1)
Symmetry-distinct sites (fractional):
Sb: 0.000 0.000 0.000
Sb: 0.453 0.527 0.314
As: 0.030 0.559 0.026
As: 0.469 0.083 0.321
C: 0.679 0.046 0.561
C: 0.736 0.016 0.745

---

Record 5
The following is a GGA-PBE calculation of a relaxed structure of AcPa4N8, from the Alexandria database.

total DFT energy (no corrections) = -9.855 eV per atom
E_form (uncorrected) = -1.4936 eV/atom
E above lowest polymorph = 0.00 kJ/mol of atoms

Cell lengths 13.088, 3.752, 9.678 Å; angles 90.00, 119.82, 90.00 degrees
Space group C2/m (No. 12)
Symmetry-distinct sites (fractional):
Ac: 0.000 0.000 0.000
Pa: 0.116 0.500 0.438
Pa: 0.166 0.000 0.800
N: 0.030 0.000 0.280
N: 0.093 0.500 0.655
N: 0.155 0.500 0.000
N: 0.223 0.000 0.597

---

Record 6
The following is a GGA-PBE calculation of a relaxed structure of Mg2GaSI, from the Alexandria database.

total DFT energy (no corrections) = -2.567 eV per atom
E_form (uncorrected) = -0.1881 eV/atom

Cell lengths 4.749, 4.749, 7.728 Å; angles 90.00, 90.00, 90.00 degrees
Space group P4/mmm (No. 123)
Symmetry-distinct sites (fractional):
Mg: 0.000 0.500 0.000
Ga: 0.000 0.000 0.500
S: 0.500 0.500 0.000
I: 0.500 0.500 0.500

---

Record 7
The following is a GGA-PBE calculation of a relaxed structure of NbCdOsRh, from the Alexandria database.

total DFT energy (no corrections) = -7.427 eV per atom
energy of formation = -0.036 eV/atom

Cell lengths 6.403, 6.403, 6.403 Å; angles 90.00, 90.00, 90.00 degrees
Space group F-43m (No. 216)
Symmetry-distinct sites (fractional):
Nb: 0.000 0.000 0.000
Cd: 0.000 0.000 0.500
Os: 0.250 0.250 0.250
Rh: 0.250 0.250 0.750

---

Record 8
The following is a GGA-PBE calculation of a relaxed structure of TbPrPt, from the Alexandria database.

total DFT energy (no corrections) = -5.968 eV per atom
energy of formation = -0.818 eV/atom
E above lowest polymorph = 0.00 kJ/mol of atoms

Cell lengths 6.816, 6.818, 7.159 Å; angles 90.00, 90.70, 90.00 degrees
Space group C2/m (No. 12)
Symmetry-distinct sites (fractional):
Tb: 0.000 0.249 0.000
Pr: 0.249 0.500 0.382
Pt: 0.245 0.500 0.780